one:
RbV2Cl (PBE, optimized geometry); symmetry = Fm-3m, No. 225; density of states at the Fermi level = 7.8 states/eV/f.u.; total moment = 9.45 μB per formula unit; crystal system = cubic
1.0
0.000 3.804 3.804
3.804 0.000 3.804
3.804 3.804 0.000
Rb V Cl
1 2 1
Cartesian
0.000 0.000 0.000
1.902 1.902 1.902
5.706 5.706 5.706
3.804 3.804 3.804

***

two:
RbV2Cl (PBE, optimized geometry); symmetry = I4_1/amd, No. 141; density of states at the Fermi level = 4.6 states/eV/f.u.; total moment = 2.87 μB per formula unit; crystal system = tetragonal
1.0
-2.328 2.328 9.201
2.328 -2.328 9.201
2.328 2.328 -9.201
Rb V Cl
2 4 2
Cartesian
2.328 1.164 2.300
0.000 1.164 6.901
0.000 0.000 0.000
1.164 1.164 -4.601
1.164 -1.164 4.601
0.000 2.328 0.000
2.328 -1.164 6.901
0.000 3.493 2.300

***

Which structure is most stable, and how do the rest compare? From most to least stable: two, one.

***

one:
RbW2Cl2 (PBE, optimized geometry); symmetry = I4/mmm, No. 139; density of states at the Fermi level = 4.7 states/eV/f.u.; total moment = 0.00 μB per formula unit; crystal system = tetragonal
1.0
-1.821 1.821 9.244
1.821 -1.821 9.244
1.821 1.821 -9.244
Rb W Cl
1 2 2
Cartesian
0.000 0.000 0.000
1.821 0.000 4.622
0.000 1.821 4.622
0.000 0.000 7.217
0.000 0.000 11.271

***

two:
RbW2Cl2 (PBE, optimized geometry); symmetry = P4/mbm, No. 127; density of states at the Fermi level = 4.0 states/eV/f.u.; total moment = 0.72 μB per formula unit; crystal system = tetragonal
1.0
9.523 0.000 0.000
0.000 9.523 0.000
0.000 0.000 2.966
Rb W Cl
2 4 4
Cartesian
0.000 0.000 0.000
4.761 4.761 0.000
0.841 3.921 1.483
3.921 8.682 1.483
5.602 0.841 1.483
8.682 5.602 1.483
2.276 2.486 0.000
2.486 7.247 0.000
7.037 2.276 0.000
7.247 7.037 0.000

***

Which structure is most stable, and how do the rest compare? From most to least stable: one, two.

***

one:
RbWCl3 (PBE, optimized geometry); symmetry = Pm-3m, No. 221; density of states at the Fermi level = 19.0 states/eV/f.u.; total moment = 4.00 μB per formula unit; crystal system = cubic
1.0
5.860 0.000 0.000
0.000 5.860 0.000
0.000 0.000 5.860
Rb W Cl
1 1 3
Cartesian
0.000 0.000 0.000
2.930 2.930 2.930
0.000 0.000 2.930
0.000 2.930 0.000
2.930 0.000 0.000

***

two:
RbWCl3 (PBE, optimized geometry); symmetry = Pm-3m, No. 221; density of states at the Fermi level = 1.6 states/eV/f.u.; total moment = 2.98 μB per formula unit; crystal system = cubic
1.0
5.058 0.000 0.000
0.000 5.058 0.000
0.000 0.000 5.058
Rb W Cl
1 1 3
Cartesian
0.000 0.000 0.000
2.529 2.529 2.529
0.000 2.529 2.529
2.529 0.000 2.529
2.529 2.529 0.000

***

three:
RbWCl3 (PBE, optimized geometry); symmetry = P-1, No. 2; total moment = 0.00 μB per formula unit; crystal system = triclinic
1.0
6.913 0.000 0.000
-0.618 6.924 0.000
-3.159 -2.160 7.136
Rb W Cl
2 2 6
Cartesian
0.111 0.820 2.572
3.025 3.944 4.564
2.749 4.506 0.060
0.387 0.258 7.077
-1.594 -1.029 6.789
-0.432 3.145 4.912
1.107 4.434 1.717
2.028 0.330 5.420
3.568 1.619 2.224
4.730 5.793 0.347

***

Which structure is most stable, and how do the rest compare? From most to least stable: three, two, one.

***

one:
RbWCl2 (PBE, optimized geometry); symmetry = R-3m, No. 166; density of states at the Fermi level = 3.1 states/eV/f.u.; total moment = 0.00 μB per formula unit; crystal system = trigonal
1.0
1.634 0.944 9.566
-1.634 0.944 9.566
0.000 -1.887 9.566
Rb W Cl
1 1 2
Cartesian
0.000 0.000 0.000
0.000 0.000 14.348
0.000 0.000 11.992
0.000 0.000 16.705

***

two:
RbWCl2 (PBE, optimized geometry); symmetry = I-42d, No. 122; density of states at the Fermi level = 4.0 states/eV/f.u.; total moment = 0.00 μB per formula unit; crystal system = tetragonal
1.0
-2.992 2.992 6.788
2.992 -2.992 6.788
2.992 2.992 -6.788
Rb W Cl
2 2 4
Cartesian
0.000 0.000 0.000
0.000 2.992 3.394
2.992 0.000 3.394
0.000 0.000 6.788
1.496 -0.643 5.091
2.349 1.496 1.697
1.496 3.634 -1.697
0.643 1.496 8.485

***

Which structure is most stable, and how do the rest compare? From most to least stable: one, two.

***

one:
Rb2WCl (PBE, optimized geometry); symmetry = I-42d, No. 122; density of states at the Fermi level = 4.7 states/eV/f.u.; total moment = 2.83 μB per formula unit; crystal system = tetragonal
1.0
-6.486 6.486 2.292
6.486 -6.486 2.292
6.486 6.486 -2.292
Rb W Cl
4 2 2
Cartesian
0.926 3.243 0.573
-3.243 5.560 1.719
-0.926 9.729 0.573
3.243 7.412 1.719
6.486 0.000 1.146
0.000 0.000 2.292
0.000 0.000 0.000
0.000 6.486 1.146

***

two:
Rb2WCl (PBE, optimized geometry); symmetry = Fm-3m, No. 225; density of states at the Fermi level = 0.0 states/eV/f.u.; total moment = 5.00 μB per formula unit; crystal system = cubic
1.0
0.000 4.335 4.335
4.335 0.000 4.335
4.335 4.335 0.000
Rb W Cl
2 1 1
Cartesian
2.168 2.168 2.168
6.503 6.503 6.503
0.000 0.000 0.000
4.335 4.335 4.335

***

Which structure is most stable, and how do the rest compare? From most to least stable: two, one.

***

one:
RbWCl6 (PBE, optimized geometry); symmetry = C2/c, No. 15; density of states at the Fermi level = 6.3 states/eV/f.u.; total moment = 1.00 μB per formula unit; crystal system = monoclinic
1.0
6.087 -3.290 0.000
6.087 3.290 0.000
-2.580 0.000 12.119
Rb W Cl
2 2 12
Cartesian
4.152 2.653 9.089
5.442 -2.653 3.030
3.044 1.645 0.000
1.753 -1.645 6.059
0.484 0.293 6.454
1.342 0.661 10.172
1.775 -0.293 0.395
4.811 0.753 1.252
2.632 -0.661 4.113
6.073 0.753 4.807
3.521 -0.753 7.311
6.962 0.661 8.006
4.783 -0.753 10.867
7.820 0.293 11.724
8.252 -0.661 1.947
9.110 -0.293 5.664

***

two:
RbWCl6 (PBE, optimized geometry); symmetry = C2/m, No. 12; density of states at the Fermi level = 6.7 states/eV/f.u.; total moment = 1.00 μB per formula unit; crystal system = monoclinic
1.0
4.098 -4.944 0.000
4.098 4.944 0.000
-1.971 0.000 6.153
Rb W Cl
1 1 6
Cartesian
0.000 0.000 0.000
3.113 0.000 3.077
0.798 0.000 3.465
2.831 1.657 1.439
3.394 1.657 4.715
2.831 -1.657 1.439
3.394 -1.657 4.715
5.427 0.000 2.688

***

Which structure is most stable, and how do the rest compare? From most to least stable: one, two.

***

one:
RbW2Cl (PBE, optimized geometry); symmetry = I-42d, No. 122; density of states at the Fermi level = 4.8 states/eV/f.u.; total moment = 0.00 μB per formula unit; crystal system = tetragonal
1.0
-1.944 1.944 16.090
1.944 -1.944 16.090
1.944 1.944 -16.090
Rb W Cl
2 4 2
Cartesian
0.000 0.000 0.000
0.000 1.944 8.045
0.972 1.142 -4.022
2.745 0.972 4.022
0.972 0.802 12.067
-0.802 0.972 20.112
1.944 0.000 8.045
0.000 0.000 16.090

***

two:
RbW2Cl (PBE, optimized geometry); symmetry = Fm-3m, No. 225; density of states at the Fermi level = 6.3 states/eV/f.u.; total moment = 0.00 μB per formula unit; crystal system = cubic
1.0
0.000 3.357 3.357
3.357 0.000 3.357
3.357 3.357 0.000
Rb W Cl
1 2 1
Cartesian
0.000 0.000 0.000
1.679 1.679 1.679
5.036 5.036 5.036
3.357 3.357 3.357

***

Which structure is most stable, and how do the rest compare? From most to least stable: one, two.

***

one:
Rb2YCl (PBE, optimized geometry); symmetry = I-42d, No. 122; density of states at the Fermi level = 6.3 states/eV/f.u.; total moment = 1.15 μB per formula unit; crystal system = tetragonal
1.0
-6.548 6.548 2.650
6.548 -6.548 2.650
6.548 6.548 -2.650
Rb Y Cl
4 2 2
Cartesian
1.428 3.274 0.663
-3.274 5.120 1.988
-1.428 9.822 0.663
3.274 7.976 1.988
6.548 0.000 1.325
0.000 0.000 2.650
0.000 0.000 0.000
0.000 6.548 1.325

***

two:
Rb2YCl (PBE, optimized geometry); symmetry = Fm-3m, No. 225; density of states at the Fermi level = 3.6 states/eV/f.u.; total moment = 2.00 μB per formula unit; crystal system = cubic
1.0
0.000 4.712 4.712
4.712 0.000 4.712
4.712 4.712 0.000
Rb Y Cl
2 1 1
Cartesian
2.356 2.356 2.356
7.068 7.068 7.068
0.000 0.000 0.000
4.712 4.712 4.712

***

Which structure is most stable, and how do the rest compare? From most to least stable: one, two.

***

one:
RbY2Cl (PBE, optimized geometry); symmetry = Fm-3m, No. 225; density of states at the Fermi level = 5.5 states/eV/f.u.; total moment = 0.00 μB per formula unit; crystal system = cubic
1.0
0.000 4.106 4.106
4.106 0.000 4.106
4.106 4.106 0.000
Rb Y Cl
1 2 1
Cartesian
0.000 0.000 0.000
2.053 2.053 2.053
6.159 6.159 6.159
4.106 4.106 4.106

***

two:
RbY2Cl (PBE, optimized geometry); symmetry = I-42d, No. 122; density of states at the Fermi level = 5.5 states/eV/f.u.; total moment = 0.00 μB per formula unit; crystal system = tetragonal
1.0
-3.309 3.309 8.700
3.309 -3.309 8.700
3.309 3.309 -8.700
Rb Y Cl
2 4 2
Cartesian
0.000 0.000 0.000
0.000 3.309 4.350
1.654 3.304 -2.175
3.314 1.654 2.175
1.654 0.005 6.525
-0.005 1.654 10.875
3.309 0.000 4.350
0.000 0.000 8.700

***

Which structure is most stable, and how do the rest compare? From most to least stable: two, one.

***

one:
Rb3YCl (PBE, optimized geometry); symmetry = Pm-3m, No. 221; density of states at the Fermi level = 15.7 states/eV/f.u.; total moment = 3.00 μB per formula unit; crystal system = cubic
1.0
7.685 0.000 0.000
0.000 7.685 0.000
0.000 0.000 7.685
Rb Y Cl
3 1 1
Cartesian
0.000 0.000 3.842
0.000 3.842 0.000
3.842 0.000 0.000
0.000 0.000 0.000
3.842 3.842 3.842

***

two:
Rb3YCl (PBE, optimized geometry); symmetry = Pm-3m, No. 221; density of states at the Fermi level = 9.0 states/eV/f.u.; total moment = 2.17 μB per formula unit; crystal system = cubic
1.0
6.526 0.000 0.000
0.000 6.526 0.000
0.000 0.000 6.526
Rb Y Cl
3 1 1
Cartesian
0.000 0.000 3.263
0.000 3.263 0.000
3.263 0.000 0.000
3.263 3.263 3.263
0.000 0.000 0.000

***

Which structure is most stable, and how do the rest compare? From most to least stable: two, one.

***

one:
RbY2Cl7 (PBE, optimized geometry); symmetry = Cmmm, No. 65; density of states at the Fermi level = 0.0 states/eV/f.u.; total moment = 0.00 μB per formula unit; crystal system = orthorhombic
1.0
4.256 -6.876 0.000
4.256 6.876 0.000
0.000 0.000 5.313
Rb Y Cl
1 2 7
Cartesian
0.000 0.000 0.000
4.256 2.704 2.657
4.256 -2.704 2.657
1.599 1.929 2.657
4.256 2.812 0.000
1.599 -1.929 2.657
4.256 0.000 2.657
6.912 1.929 2.657
4.256 -2.812 0.000
6.912 -1.929 2.657

***

two:
RbY2Cl7 (PBE, optimized geometry); symmetry = Pnma, No. 62; density of states at the Fermi level = 0.0 states/eV/f.u.; total moment = 0.00 μB per formula unit; crystal system = orthorhombic
1.0
13.762 0.000 0.000
0.000 6.999 0.000
0.000 0.000 12.741
Rb Y Cl
4 8 28
Cartesian
0.470 1.750 2.529
6.411 5.249 8.899
7.351 1.750 3.842
13.292 5.249 10.213
3.300 1.750 6.886
3.395 1.750 10.743
3.486 5.249 4.372
3.581 5.249 0.515
10.181 1.750 12.226
10.276 1.750 8.369
10.367 5.249 1.999
10.462 5.249 5.856
1.565 5.249 2.420
1.762 0.075 5.381
1.762 3.424 5.381
1.829 0.069 12.241
1.829 3.431 12.241
2.405 0.072 8.829
2.405 3.427 8.829
4.476 3.572 2.458
4.476 6.927 2.458
5.052 3.568 5.870
5.052 6.930 5.870
5.119 3.575 11.752
5.119 6.924 11.752
5.316 1.750 8.790
8.446 5.249 3.951
8.643 0.075 0.990
8.643 3.424 0.990
8.710 0.069 6.871
8.710 3.431 6.871
9.286 0.072 10.283
9.286 3.427 10.283
11.357 3.572 3.913
11.357 6.927 3.913
11.933 3.568 0.500
11.933 6.930 0.500
12.000 3.575 7.360
12.000 6.924 7.360
12.197 1.750 10.322

***

Which structure is most stable, and how do the rest compare? From most to least stable: two, one.